Version P
Compound: Ca2BeN2
Source: Alexandria
Functional: PBE
Structure: optimized geometry

Values from the calculation:
The density of states at the Fermi level comes out at 0.0 states/eV/f.u. The crystal system is orthorhombic. As for the symmetry: Ibam, No. 72.

Structure (POSCAR):
```
Ca2BeN2
1.0
4.395 0.000 1.876
1.239 5.016 3.184
0.024 0.679 6.031
N Be Ca
4 2 4
direct
0.900 0.411 0.789
0.100 0.589 0.211
0.400 0.789 0.411
0.600 0.211 0.589
0.750 0.500 0.500
0.250 0.500 0.500
0.144 0.036 0.676
0.856 0.964 0.324
0.356 0.324 0.964
0.644 0.676 0.036
```


Version Q
Compound: Ca2BeN2
Source: Alexandria
Functional: PBE
Structure: optimized geometry

Values from the calculation:
The crystal system is monoclinic. As for the symmetry: C2/m, No. 12.

Structure (POSCAR):
```
Ca2BeN2
1.0
4.776 0.000 0.000
2.388 5.365 -0.685
2.388 1.027 5.612
Ca N Be
4 4 2
direct
0.901 0.394 0.804
0.669 0.195 0.467
0.331 0.805 0.533
0.099 0.606 0.196
0.812 0.780 0.596
0.188 0.220 0.404
0.556 0.768 0.120
0.444 0.232 0.880
0.621 0.907 0.851
0.379 0.093 0.149
```


Stability, highest: version Q